Entry from the Alexandria database: a relaxed Fe2HF crystal (GGA+U).

Output
Its crystal system is tetragonal. The energy above the most stable polymorph in this dataset is 0.000 eV/atom.

a = 4.532 Å, b = 4.532 Å, c = 5.582 Å
α = 66.05°, β = 66.05°, γ = 90.00°
Last column: magnetic moment on the atom in μB.
Sites, in units of the cell vectors:
Fe 0.563 0.125 0.250  3.34
Fe 0.375 0.437 0.750  3.39
Fe 0.875 0.813 0.750  3.34
Fe 0.187 0.625 0.250  3.34
F 0.750 0.250 0.500  0.01
F 0.000 0.000 0.000  0.01
H 0.250 0.750 0.500  -0.04
H 0.500 0.500 0.000  -0.04